Entry 1:
TbPrSn | GGA-PBE | optimized geometry

Cell lengths 4.6577, 4.6576, 11.2242 Å; angles 90.00, 90.00, 60.00 degrees
Last column: magnetic moment on the atom in μB.
Fractional positions:
Tb 0.8216 0.2274 0.7891  0.36
Tb 0.4882 0.8941 0.2891  0.04
Pr 0.1549 0.5608 0.0002  0.10
Pr 0.1549 0.5607 0.5780  0.10
Sn 0.8215 0.2274 0.1374  -0.01
Sn 0.8215 0.2274 0.4407  -0.01

Output
Formation enthalpy at 0 K in eV per atom: -0.2337
Magnetization in Bohr magnetons per cell: 1.250
Total DFT energy (no corrections) in eV per cell: -28.23
Polymorph energy (0 for the lowest one) in eV/atom: 0.3821
Space-group type: No. 187

---

Entry 2:
Tb3PrSn | GGA-PBE | optimized geometry

Cell lengths 3.6337, 11.2019, 15.4327 Å; angles 90.00, 90.00, 90.00 degrees
Fractional positions:
Tb 0.2500 0.5954 0.0680
Tb 0.7500 0.4046 0.9320
Tb 0.2500 0.0954 0.4320
Tb 0.7500 0.9046 0.5680
Tb 0.2500 0.3791 0.7380
Tb 0.7500 0.1209 0.2380
Tb 0.2500 0.8791 0.7620
Tb 0.7500 0.6334 0.6778
Tb 0.2500 0.3666 0.3222
Tb 0.7500 0.1334 0.8222
Tb 0.7500 0.6209 0.2620
Tb 0.2500 0.8666 0.1778
Pr 0.7500 0.8372 0.9628
Pr 0.2500 0.6628 0.4628
Pr 0.7500 0.3372 0.5372
Pr 0.2500 0.1628 0.0372
Sn 0.2500 0.1234 0.6436
Sn 0.2500 0.6234 0.8564
Sn 0.7500 0.3766 0.1436
Sn 0.7500 0.8766 0.3564

Output
Formation enthalpy at 0 K in eV per atom: -0.2713
Magnetization in Bohr magnetons per cell: 0.000
Total DFT energy (no corrections) in eV per cell: -96.12
Space-group type: No. 62

---

Entry 3:
TbPrSn | GGA-PBE | optimized geometry

Cell lengths 4.6706, 4.6706, 9.2236 Å; angles 104.66, 104.66, 90.01 degrees
Last column: magnetic moment on the atom in μB.
Fractional positions:
Tb 0.5000 0.0000 0.0000  0.04
Tb 0.0000 0.5000 0.0000  0.04
Pr 0.3229 0.3229 0.6459  0.11
Pr 0.6771 0.6771 0.3541  0.11
Sn 0.8676 0.8676 0.7352  -0.01
Sn 0.1324 0.1324 0.2648  -0.01

Output
Formation enthalpy at 0 K in eV per atom: -0.6158
Magnetization in Bohr magnetons per cell: 0.666
Total DFT energy (no corrections) in eV per cell: -30.52
Polymorph energy (0 for the lowest one) in eV/atom: 0.0000
Space-group type: No. 139